Material: SmMn2O4
Method: DFT, PBE+U
State: optimized geometry

```
SmMn2O4
1.0
6.1289 0.0187 -0.0324
-2.0243 5.7849 0.0324
-2.0802 -2.8821 4.9931
Mn O Sm
4 8 2
Direct
0.3750 0.7502 0.6252
0.8750 0.2498 0.6248
0.3752 0.2502 0.6250
0.3748 0.7498 0.1250
0.5979 0.6894 0.9086
0.6586 0.1894 0.8479
0.2191 0.3106 0.9084
0.6584 0.8106 0.4691
0.5309 0.1893 0.3414
0.0914 0.6893 0.7809
0.0916 0.3107 0.4021
0.1521 0.8107 0.3416
0.7500 0.5000 0.2500
0.0000 0.0000 0.0000
```

D(E_F): 7.21 states/eV/cell
E_tot: -7.823 eV per atom
relative energy among the computed polymorphs: 73 meV per atom
total moment: 9.00 μB per formula unit
SG: No. 141